(1)
Below is CaAc8Pm6 after structural relaxation, with properties calculated at the PBE-GGA level.

Unit cell a=9.272 b=9.272 c=9.272 alpha=66.89 beta=66.89 gamma=66.89
Fractional coordinates of all 15 atoms:
Ca: 0.000 0.000 0.000
Ac: 0.136 0.416 0.819
Ac: 0.181 0.864 0.584
Ac: 0.267 0.267 0.267
Ac: 0.416 0.819 0.136
Ac: 0.584 0.181 0.864
Ac: 0.733 0.733 0.733
Ac: 0.819 0.136 0.416
Ac: 0.864 0.584 0.181
Pm: 0.068 0.673 0.375
Pm: 0.327 0.625 0.932
Pm: 0.375 0.068 0.673
Pm: 0.625 0.932 0.327
Pm: 0.673 0.375 0.068
Pm: 0.932 0.327 0.625

Computed properties:
The value obtained for the total magnetization is 0.0000 μB/atom. For the formation energy, the calculation gives 341 kJ/mol of formula units. The symmetry is R-3, No. 148. The calculated volume is 43.13 Å³/atom. As for the total energy: -59.84 eV per formula unit.

=====

(2)
Below is TbPr6Ho2Th after structural relaxation, with properties calculated at the PBE-GGA level.

Unit cell a=8.910 b=8.910 c=9.851 alpha=94.48 beta=94.48 gamma=116.17
Fractional coordinates of all 20 atoms:
Tb: 0.093 0.907 0.750
Tb: 0.907 0.093 0.250
Pr: 0.011 0.800 0.381
Pr: 0.075 0.509 0.188
Pr: 0.200 0.989 0.119
Pr: 0.258 0.607 0.557
Pr: 0.393 0.742 0.943
Pr: 0.491 0.925 0.312
Pr: 0.509 0.075 0.688
Pr: 0.607 0.258 0.057
Pr: 0.742 0.393 0.443
Pr: 0.800 0.011 0.881
Pr: 0.925 0.491 0.812
Pr: 0.989 0.200 0.619
Ho: 0.213 0.302 0.949
Ho: 0.302 0.213 0.449
Ho: 0.698 0.787 0.551
Ho: 0.787 0.698 0.051
Th: 0.471 0.529 0.250
Th: 0.529 0.471 0.750

Computed properties:
The value obtained for the total magnetization is 0.0000 μB/atom. For the formation energy, the calculation gives 136 kJ/mol of formula units. The symmetry is C2/c, No. 15. The calculated volume is 34.70 Å³/atom. As for the total energy: -48.47 eV per formula unit.

=====

(3)
Below is Pm2Y3Tm6Th after structural relaxation, with properties calculated at the PBE-GGA level.

Unit cell a=6.152 b=6.152 c=11.704 alpha=95.03 beta=95.03 gamma=119.96
Fractional coordinates of all 12 atoms:
Pm: 0.167 0.833 0.000
Pm: 0.833 0.167 0.000
Y: 0.000 0.000 0.500
Y: 0.333 0.667 0.500
Y: 0.667 0.333 0.500
Tm: 0.087 0.416 0.750
Tm: 0.254 0.254 0.250
Tm: 0.416 0.087 0.750
Tm: 0.584 0.913 0.250
Tm: 0.746 0.746 0.750
Tm: 0.913 0.584 0.250
Th: 0.500 0.500 0.000

Computed properties:
The value obtained for the total magnetization is 0.0000 μB/atom. For the formation energy, the calculation gives 38 kJ/mol of formula units. The symmetry is C2/m, No. 12. The calculated volume is 31.49 Å³/atom. As for the total energy: -62.74 eV per formula unit.

=====

(4)
Below is HoGa4Ir2 after structural relaxation, with properties calculated at the PBE-GGA level.

Unit cell a=17.097 b=4.282 c=6.629 alpha=90.00 beta=90.00 gamma=90.00
Fractional coordinates of all 28 atoms:
Ho: 0.141 0.250 0.013
Ho: 0.359 0.750 0.513
Ho: 0.641 0.250 0.487
Ho: 0.859 0.750 0.987
Ga: 0.036 0.750 0.850
Ga: 0.068 0.250 0.486
Ga: 0.187 0.750 0.314
Ga: 0.189 0.750 0.724
Ga: 0.311 0.250 0.224
Ga: 0.313 0.250 0.814
Ga: 0.432 0.750 0.986
Ga: 0.464 0.250 0.350
Ga: 0.536 0.750 0.650
Ga: 0.568 0.250 0.014
Ga: 0.687 0.750 0.186
Ga: 0.689 0.750 0.776
Ga: 0.811 0.250 0.276
Ga: 0.813 0.250 0.686
Ga: 0.932 0.750 0.514
Ga: 0.964 0.250 0.150
Ir: 0.037 0.750 0.242
Ir: 0.215 0.250 0.521
Ir: 0.285 0.750 0.021
Ir: 0.463 0.250 0.742
Ir: 0.537 0.750 0.258
Ir: 0.715 0.250 0.979
Ir: 0.785 0.750 0.479
Ir: 0.963 0.250 0.758

Computed properties:
The value obtained for the total magnetization is 0.0000 μB/atom. For the formation energy, the calculation gives -426 kJ/mol of formula units. The energy above the most stable polymorph in this dataset is 0.0 meV/atom. The symmetry is Pnma, No. 62. The calculated volume is 17.33 Å³/atom. As for the total energy: -38.82 eV per formula unit.

=====

(5)
Below is NdHo4Tm3 after structural relaxation, with properties calculated at the PBE-GGA level.

Unit cell a=13.273 b=13.273 c=3.535 alpha=90.00 beta=90.00 gamma=155.63
Fractional coordinates of all 8 atoms:
Nd: 0.000 0.000 0.000
Ho: 0.105 0.895 0.500
Ho: 0.224 0.776 0.500
Ho: 0.776 0.224 0.500
Ho: 0.895 0.105 0.500
Tm: 0.343 0.657 0.000
Tm: 0.500 0.500 0.500
Tm: 0.657 0.343 0.000

Computed properties:
The value obtained for the total magnetization is 0.0000 μB/atom. For the formation energy, the calculation gives 181 kJ/mol of formula units. The energy above the most stable polymorph in this dataset is 229.6 meV/atom. The symmetry is Cmmm, No. 65. The calculated volume is 32.12 Å³/atom. As for the total energy: -34.62 eV per formula unit.

=====

(6)
Below is Tb4Ho6Mg after structural relaxation, with properties calculated at the PBE-GGA level.

Unit cell a=9.645 b=9.645 c=9.645 alpha=140.88 beta=140.88 gamma=56.53
Fractional coordinates of all 11 atoms:
Tb: 0.145 0.145 0.633
Tb: 0.488 0.855 0.000
Tb: 0.512 0.512 0.367
Tb: 0.855 0.488 0.000
Ho: 0.000 0.500 0.500
Ho: 0.043 0.693 0.000
Ho: 0.307 0.307 0.350
Ho: 0.500 0.000 0.500
Ho: 0.693 0.043 0.000
Ho: 0.957 0.957 0.650
Mg: 0.500 0.500 0.000

Computed properties:
The value obtained for the total magnetization is 0.0000 μB/atom. For the formation energy, the calculation gives 298 kJ/mol of formula units. The symmetry is I-42m, No. 121. The calculated volume is 32.22 Å³/atom. As for the total energy: -44.50 eV per formula unit.